## P
# PBE MnBe2Cl, optimized geometry
# - Density: 3.0 g/cm3
# - V: 14.97 A^3/atom
data_MnBe2Cl
_space_group_name_H-M_alt 'P 1 m 1'
_space_group_IT_number 6
_space_group_name_Hall 'P -2y'
_cell_length_a 2.9004
_cell_length_b 3.2609
_cell_length_c 6.4918
_cell_angle_alpha 90.00
_cell_angle_beta 102.85
_cell_angle_gamma 90.00
loop_
_atom_site_label
_atom_site_type_symbol
_atom_site_fract_x
_atom_site_fract_y
_atom_site_fract_z
_atom_site_occupancy
Mn1 Mn 0.0000 0.0000 0.0000 1
Be1 Be 0.3426 0.0000 0.6810 1
Be2 Be 0.4588 0.5000 0.9179 1
Cl1 Cl 0.2421 0.5000 0.4774 1

## Q
# PBE MnBe2Cl, optimized geometry
# - Density: 3.7 g/cm3
# - V: 12.21 A^3/atom
data_MnBe2Cl
_space_group_name_H-M_alt 'R -3 m'
_space_group_IT_number 166
_space_group_name_Hall '-R 3 2"'
_cell_length_a 2.8386
_cell_length_b 2.8386
_cell_length_c 21.0004
_cell_angle_alpha 90.00
_cell_angle_beta 90.00
_cell_angle_gamma 120.00
loop_
_atom_site_label
_atom_site_type_symbol
_atom_site_fract_x
_atom_site_fract_y
_atom_site_fract_z
_atom_site_occupancy
Mn1 Mn 0.0000 0.0000 0.0000 1
Be1 Be 0.0000 0.0000 0.2503 1
Cl1 Cl 0.0000 0.0000 0.5000 1

Which of them is the most stable? Correct choice: P.